(1)
Entry from Alexandria: a crystal of As2WCl relaxed with PBEsol (SCAN).

POSCAR file:
```
As2WCl
1.0
4.4894 -1.6378 0.0000
4.4894 1.6378 0.0000
-1.7506 0.0000 6.0085
As W Cl
2 1 1
Direct
0.0000 0.0000 0.0000
0.1475 0.1475 0.7088
0.4330 0.4330 0.6774
0.8019 0.8019 0.3813
```

## Properties
formation energy (no corrections): 0.00 eV per atom
symmetry: Cm
volume: 22.1 Å³ per atom
Fermi-level density of states: 0.444 states/eV/atom

---

(2)
Entry from Alexandria: a crystal of MgTlPb2 relaxed with PBEsol (SCAN).

POSCAR file:
```
MgTlPb2
1.0
3.4614 0.0000 0.0000
0.0000 4.6298 0.0000
0.0000 0.0000 6.8492
Mg Tl Pb
1 1 2
Direct
0.0000 0.0000 0.0000
0.5000 0.5000 0.7642
0.0000 0.0000 0.5072
0.5000 0.5000 0.2402
```

## Properties
energy relative to the elements: -0.0336 eV per atom
symmetry: Pmm2
volume: 27.4 Å³ per atom
Fermi-level density of states: 0.443 states/eV/atom